# 1
A plane-wave DFT calculation with PBE-GGA was carried out for a relaxed structure of AsRuPbO5.

Cell: 5.879 5.879 7.342 Å, 104.61 104.61 106.47°
Sites, in units of the cell vectors:
As1 0.188 0.812 0.750
As2 0.812 0.188 0.250
Ru1 0.500 0.500 0.000
Ru2 0.500 0.500 0.500
Pb1 0.177 0.823 0.250
Pb2 0.823 0.177 0.750
O1 0.110 0.271 0.427
O2 0.188 0.603 0.887
O3 0.271 0.110 0.927
O4 0.397 0.812 0.613
O5 0.430 0.570 0.250
O6 0.570 0.430 0.750
O7 0.603 0.188 0.387
O8 0.729 0.890 0.073
O9 0.812 0.397 0.113
O10 0.890 0.729 0.573

**SG**: C2/c
**E**: -6.3457 eV per atom
**Uncorrected formation energy**: -8.34 eV per formula unit



# 2
A plane-wave DFT calculation with PBE-GGA was carried out for a relaxed structure of As2RuPbO8.

Cell: 8.134 8.134 8.134 Å, 35.65 35.65 35.65°
Sites, in units of the cell vectors:
As1 0.240 0.240 0.240
As2 0.760 0.760 0.760
Ru1 0.500 0.500 0.500
Pb1 0.000 0.000 0.000
O1 0.123 0.769 0.451
O2 0.231 0.549 0.877
O3 0.315 0.315 0.315
O4 0.451 0.123 0.769
O5 0.549 0.877 0.231
O6 0.685 0.685 0.685
O7 0.769 0.451 0.123
O8 0.877 0.231 0.549

**SG**: R-3
**E**: -6.2236 eV per atom
**Uncorrected formation energy**: -12.73 eV per formula unit



Question: Which of these has the lowest uncorrected formation energy?
Answer: As2RuPbO8



Question: Among the records above, which one has the lowest uncorrected formation energy?
Answer: As2RuPbO8



Question: Look up the E of the first one.
Answer: -6.3457 eV per atom